Compound: Bi8PdRh2
Source: the Alexandria database
Functional: PBE
Structure: optimized geometry

Computed properties:
Calculated density in g cm⁻³: 9.9
ΔE_f in eV/atom: 0.051
Raw total energy in eV/f.u.: -50.4

Unit cell a=5.4354 b=7.8648 c=7.8648 alpha=83.16 beta=90.18 gamma=90.18
Closest atoms and distances in Å follow each position.
Fractional coordinates of all 11 atoms:
Bi 0.2585 0.7924 0.7924  2 Rh 2.68-2.76, 1 Pd 2.82
Bi 0.2682 0.8661 0.2956  1 Rh 2.74, 1 Pd 2.84
Bi 0.7318 0.7044 0.1339  1 Rh 2.74, 1 Pd 2.84
Bi 0.7498 0.5619 0.5619  1 Rh 2.64
Bi 0.2502 0.4381 0.4381  1 Rh 2.64
Bi 0.7318 0.1339 0.7044  1 Rh 2.74, 1 Pd 2.84
Bi 0.2682 0.2956 0.8661  1 Rh 2.74, 1 Pd 2.84
Bi 0.7415 0.2076 0.2076  2 Rh 2.68-2.76, 1 Pd 2.82
Pd 0.0000 0.0000 0.0000  6 Bi 2.82-2.84, 2 Rh 2.85
Rh 0.2483 0.2139 0.2139  5 Bi 2.64-2.76, 1 Pd 2.85
Rh 0.7517 0.7861 0.7861  5 Bi 2.64-2.76, 1 Pd 2.85

---

Compound: BiPdRuRh2
Source: the Alexandria database
Functional: PBE
Structure: optimized geometry

Computed properties:
Calculated density in g cm⁻³: 8.6
ΔE_f in eV/atom: 1.690
Raw total energy in eV/f.u.: -24.6

Unit cell a=4.9253 b=4.9770 c=4.9253 alpha=90.00 beta=90.00 gamma=90.00
Closest atoms and distances in Å follow each position.
Fractional coordinates of all 5 atoms:
Bi 0.0000 0.0000 0.0000  4 Rh 2.46, 2 Ru 2.49
Ru 0.0000 0.5000 0.0000  2 Bi 2.49
Rh 0.0000 0.0000 0.5000  2 Bi 2.46
Rh 0.5000 0.0000 0.0000  2 Bi 2.46
Pd 0.5000 0.5000 0.5000  4 Ru 3.48, 8 Rh 3.50

---

Compound: SnBiPdRh
Source: the Alexandria database
Functional: PBE
Structure: optimized geometry

Computed properties:
Calculated density in g cm⁻³: 11.3
ΔE_f in eV/atom: -0.148
Raw total energy in eV/f.u.: -21.0

Unit cell a=4.8114 b=4.8114 c=4.8114 alpha=60.00 beta=60.00 gamma=60.00
Closest atoms and distances in Å follow each position.
Fractional coordinates of all 4 atoms:
Rh 0.5000 0.5000 0.5000  4 Bi 2.95, 4 Sn 2.95
Sn 0.2500 0.2500 0.2500  4 Rh 2.95, 4 Pd 2.95
Pd 0.0000 0.0000 0.0000  4 Sn 2.95, 4 Bi 2.95
Bi 0.7500 0.7500 0.7500  4 Rh 2.95, 4 Pd 2.95

---

Compound: Sr2Bi3Pd4Rh
Source: the Alexandria database
Functional: PBE
Structure: optimized geometry

Computed properties:
Calculated density in g cm⁻³: 9.2
ΔE_f in eV/atom: -0.450
Raw total energy in eV/f.u.: -47.6

Unit cell a=4.5021 b=4.5021 c=11.8356 alpha=90.00 beta=90.00 gamma=90.00
Closest atoms and distances in Å follow each position.
Fractional coordinates of all 10 atoms:
Sr 0.5000 0.0000 0.2631  4 Pd 3.39, 6 Bi 3.54-3.60, 2 Rh 3.60
Sr 0.0000 0.5000 0.7369  4 Pd 3.39, 6 Bi 3.54-3.60, 2 Rh 3.60
Bi 0.0000 0.0000 0.5000  4 Pd 2.79
Bi 0.5000 0.0000 0.8672  5 Pd 2.71-2.75
Bi 0.0000 0.5000 0.1328  5 Pd 2.71-2.75
Pd 0.0000 0.0000 0.0000  4 Bi 2.75
Pd 0.0000 0.5000 0.3613  3 Bi 2.71-2.79, 2 Rh 2.79
Pd 0.5000 0.5000 0.0000  4 Bi 2.75
Pd 0.5000 0.0000 0.6387  3 Bi 2.71-2.79, 2 Rh 2.79
Rh 0.5000 0.5000 0.5000  4 Pd 2.79

---

Compound: SrBi3PdRh
Source: the Alexandria database
Functional: PBE
Structure: optimized geometry

Computed properties:
Calculated density in g cm⁻³: 8.1
ΔE_f in eV/atom: -0.263
Raw total energy in eV/f.u.: -27.4

Unit cell a=6.8548 b=6.8563 c=8.7574 alpha=113.05 beta=90.00 gamma=90.00
Closest atoms and distances in Å follow each position.
Fractional coordinates of all 12 atoms:
Bi 0.7500 0.7549 0.5098  1 Rh 2.63, 1 Pd 2.67
Bi 0.2500 0.2451 0.4902  1 Rh 2.63, 1 Pd 2.67
Bi 0.0000 0.7545 0.0000  2 Rh 2.74, 2 Pd 2.84
Bi 0.5000 0.7545 0.0000  2 Rh 2.74, 2 Pd 2.84
Bi 0.0000 0.2455 0.0000  2 Rh 2.74, 2 Pd 2.84
Bi 0.5000 0.2455 0.0000  2 Rh 2.74, 2 Pd 2.84
Rh 0.7500 0.9182 0.8363  5 Bi 2.63-2.74
Rh 0.2500 0.0818 0.1637  5 Bi 2.63-2.74
Sr 0.2500 0.6810 0.3621  8 Bi 3.58-3.81, 2 Pd 3.73, 2 Rh 3.78
Sr 0.7500 0.3190 0.6379  8 Bi 3.58-3.81, 2 Pd 3.73, 2 Rh 3.78
Pd 0.2500 0.4108 0.8215  5 Bi 2.67-2.84
Pd 0.7500 0.5892 0.1785  5 Bi 2.67-2.84

---

Compound: TbBiPdRh
Source: the Alexandria database
Functional: PBE
Structure: optimized geometry

Computed properties:
Calculated density in g cm⁻³: 11.7
ΔE_f in eV/atom: -0.620
Raw total energy in eV/f.u.: -23.5

Unit cell a=4.8693 b=4.8693 c=4.8693 alpha=60.00 beta=60.00 gamma=60.00
Closest atoms and distances in Å follow each position.
Fractional coordinates of all 4 atoms:
Pd 0.5000 0.5000 0.5000  4 Tb 2.98, 4 Bi 2.98
Bi 0.2500 0.2500 0.2500  4 Pd 2.98, 4 Rh 2.98
Rh 0.0000 0.0000 0.0000  4 Bi 2.98, 4 Tb 2.98
Tb 0.7500 0.7500 0.7500  4 Pd 2.98, 4 Rh 2.98